Below is a geometry-optimized NdGdB2Ir2N2 structure, with properties calculated at the GGA-PBE level.

Structure (extended XYZ):
```
8
Lattice="3.7835 0.0000 0.0000 0.0000 3.7835 0.0000 0.0000 0.0000 7.5433" Properties=species:S:1:pos:R:3 pbc="T T T"
B 1.8917 1.8917 4.9175
B 0.0000 0.0000 2.6153
N 0.0000 0.0000 1.1116
N 1.8917 1.8917 6.4076
Ir 0.0000 1.8917 3.7841
Ir 1.8917 0.0000 3.7841
Nd 1.8917 1.8917 1.2494
Gd 0.0000 0.0000 6.3034
```

Calculated values
- Electronic total energy: -8.26 eV per atom

=====

Below is a geometry-optimized GdErAl structure, with properties calculated at the GGA-PBE level.

Structure (extended XYZ):
```
12
Lattice="-2.8051 4.7957 -3.4593 -0.6987 -3.2172 -3.8935 -8.4595 -2.4142 3.5129" Properties=species:S:1:pos:R:3 pbc="T T T"
Gd -7.6517 0.0846 -3.7048
Gd -2.7373 2.3271 -3.1010
Gd -4.3116 -0.9203 -0.1352
Gd -9.2260 -3.1628 -0.7390
Er -6.9236 -2.5815 1.7062
Er -4.2965 -0.8402 -3.5426
Er -7.6668 0.0046 -0.2973
Er -5.0397 1.7458 -5.5461
Al -6.4486 -2.4470 -1.8288
Al -10.3521 -0.7629 -2.5199
Al -5.5147 1.6113 -2.0112
Al -1.6113 -0.0728 -1.3200
```

Calculated values
- Energy relative to the lowest polymorph listed for this composition: 0.0 meV/atom

=====

Below is a geometry-optimized LuCoTcBi structure, with properties calculated at the GGA-PBE level.

Structure (extended XYZ):
```
4
Lattice="0.0000 3.2876 3.2876 3.2876 0.0000 3.2876 3.2876 3.2876 0.0000" Properties=species:S:1:pos:R:3 pbc="T T T"
Lu 3.2876 3.2876 3.2876
Tc 1.6438 1.6438 1.6438
Co 4.9314 4.9314 4.9314
Bi 0.0000 0.0000 0.0000
```

Calculated values
- Energy relative to the lowest polymorph listed for this composition: 0.0 meV/atom

=====

Below is a geometry-optimized Li2Mg2Ga2CuNi structure, with properties calculated at the GGA-PBE level.

Structure (extended XYZ):
```
8
Lattice="-1.7733 3.8712 0.6207 -3.6845 -1.4125 -1.7163 -1.9009 -1.7569 5.5267" Properties=species:S:1:pos:R:3 pbc="T T T"
Mg -1.3733 1.4858 1.7253
Mg -3.2565 -2.0134 3.2537
Ga -2.3371 -1.1637 0.5807
Ga -2.2926 0.6361 4.3983
Ni -3.6793 0.3509 2.2156
Li -2.7289 1.2293 -0.5478
Li -0.9504 -0.8785 2.7634
Cu 0.0000 0.0000 0.0000
```

Calculated values
- Electronic total energy: -3.06 eV per atom

=====

Below is a geometry-optimized Zr3Zn3Pd2Au structure, with properties calculated at the GGA-PBE level.

Structure (extended XYZ):
```
9
Lattice="7.3712 0.0000 0.0000 -3.6856 6.3837 0.0000 0.0000 0.0000 3.4193" Properties=species:S:1:pos:R:3 pbc="T T T"
Pd 0.0000 4.2558 1.7097
Pd 3.6856 2.1279 1.7097
Au 0.0000 0.0000 0.0000
Zn -2.6554 4.5992 1.7097
Zn 5.3107 0.0000 1.7097
Zn 1.0303 1.7845 1.7097
Zr 2.2303 3.8630 0.0000
Zr -1.4553 2.5207 0.0000
Zr 2.9107 0.0000 0.0000
```

Calculated values
- DFT formation energy: -0.54 eV per atom

=====

Below is a geometry-optimized AlCdGe2 structure, with properties calculated at the GGA-PBE level.

Structure (extended XYZ):
```
4
Lattice="-0.8808 -4.7420 -0.4781 -4.5418 -1.6641 0.3062 -2.2447 -1.6605 -3.9616" Properties=species:S:1:pos:R:3 pbc="T T T"
Ge -1.9168 -2.0166 -1.0334
Ge 0.0000 0.0000 0.0000
Cd -3.8336 -4.0333 -2.0668
Al -5.7505 -6.0500 -3.1002
```

Calculated values
- Electronic total energy: -3.19 eV per atom

=====

Below is a geometry-optimized SmMgAsO structure, with properties calculated at the GGA-PBE level.

Structure (extended XYZ):
```
8
Lattice="3.8907 0.0000 0.0000 0.0000 6.0181 0.0000 0.0000 0.0000 6.9139" Properties=species:S:1:pos:R:3 pbc="T T T"
As 0.0000 4.6602 5.6693
As 0.0000 1.3579 2.2123
O 1.9454 1.5342 6.1300
O 1.9454 4.4839 2.6730
Mg 0.0000 3.8126 3.0698
Mg 0.0000 2.2055 6.5267
Sm 1.9454 0.3378 4.1718
Sm 1.9454 5.6804 0.7148
```

Calculated values
- Electronic total energy: -5.76 eV per atom

=====

Below is a geometry-optimized AgI structure, with properties calculated at the GGA-PBE level.

Structure (extended XYZ):
```
6
Lattice="-0.3982 -2.3589 -4.0119 2.6761 -1.6788 3.4407 -8.9553 -5.6477 4.2095" Properties=species:S:1:pos:R:3 pbc="T T T"
I -5.4768 -7.0334 2.8505
I -3.4527 -5.4024 -0.9347
I -1.0901 -1.4652 -0.9055
Ag 1.3038 -2.9156 -0.3029
Ag -3.3361 -2.8021 0.2580
Ag -5.7709 -6.7855 0.0132
```

Calculated values
- Electronic total energy: -2.46 eV per atom

=====

Below is a geometry-optimized TaBeNiB structure, with properties calculated at the GGA-PBE level.

Structure (extended XYZ):
```
4
Lattice="3.7983 -1.0750 -0.2288 0.9571 -3.8238 -0.3127 1.4567 -1.4019 -3.3982" Properties=species:S:1:pos:R:3 pbc="T T T"
Ta 3.1060 -3.1504 -1.9699
Be 1.5530 -1.5752 -0.9849
Ni 4.6591 -4.7255 -2.9548
B 0.0000 0.0000 0.0000
```

Calculated values
- Energy relative to the lowest polymorph listed for this composition: 299.3 meV/atom

=====

Below is a geometry-optimized LuNiBi structure, with properties calculated at the GGA-PBE level.

Structure (extended XYZ):
```
6
Lattice="-2.8315 -2.0044 2.8137 4.4068 -0.4912 0.5392 0.1274 5.8862 4.3213" Properties=species:S:1:pos:R:3 pbc="T T T"
Bi -0.2967 4.1364 6.1934
Bi 2.0523 1.6977 3.2746
Lu 0.0916 4.2303 3.1056
Lu 0.0279 1.2872 0.9450
Ni 2.0034 -0.5615 1.6161
Ni -0.3456 1.8772 4.5349
```

Calculated values
- Electronic total energy: -5.27 eV per atom

=====

Below is a geometry-optimized Sr2AgPt structure, with properties calculated at the GGA-PBE level.

Structure (extended XYZ):
```
16
Lattice="7.5021 0.0000 0.0000 0.0000 5.3509 0.0000 0.0000 0.0000 10.7017" Properties=species:S:1:pos:R:3 pbc="T T T"
Ag 5.6325 1.3377 1.3404
Ag 1.8815 4.0132 4.0105
Ag 1.8696 4.0132 9.3612
Ag 5.6206 1.3377 6.6912
Sr 3.7507 1.3377 4.0111
Sr 3.7505 4.0132 1.3334
Sr 0.0000 4.0132 6.6843
Sr 0.0000 1.3377 9.3619
Sr 0.0000 1.3377 4.0174
Sr 0.0000 4.0132 1.3397
Sr 3.7514 4.0132 6.6906
Sr 3.7516 1.3377 9.3683
Pt 5.6325 4.0132 9.3611
Pt 1.8814 1.3377 6.6915
Pt 5.6207 4.0132 4.0102
Pt 1.8696 1.3377 1.3406
```

Calculated values
- Energy relative to the lowest polymorph listed for this composition: 69.3 meV/atom

=====

Below is a geometry-optimized LaScZn structure, with properties calculated at the GGA-PBE level.

Structure (extended XYZ):
```
3
Lattice="0.0000 3.4881 3.4881 3.4881 0.0000 3.4881 3.4881 3.4881 0.0000" Properties=species:S:1:pos:R:3 pbc="T T T"
Zn 5.2322 5.2322 5.2322
La 0.0000 0.0000 0.0000
Sc 1.7441 1.7441 1.7441
```

Calculated values
- Energy relative to the lowest polymorph listed for this composition: 229.6 meV/atom
- DFT formation energy: 0.57 eV per atom

=====

Below is a geometry-optimized DyAgOs structure, with properties calculated at the GGA-PBE level.

Structure (extended XYZ):
```
3
Lattice="0.0000 3.2426 3.2426 3.2426 0.0000 3.2426 3.2426 3.2426 0.0000" Properties=species:S:1:pos:R:3 pbc="T T T"
Ag 1.6213 1.6213 1.6213
Dy 4.8639 4.8639 4.8639
Os 0.0000 0.0000 0.0000
```

Calculated values
- DFT formation energy: 0.59 eV per atom

=====

Below is a geometry-optimized Sr2LiH6Pt structure, with properties calculated at the GGA-PBE level.

Structure (extended XYZ):
```
20
Lattice="-1.1629 2.5636 9.2992 0.2738 7.0609 6.6684 -4.8507 5.3512 6.4989" Properties=species:S:1:pos:R:3 pbc="T T T"
H -4.4834 8.2435 11.6439
H -0.9997 6.6629 7.9491
H -1.7489 4.3176 9.3210
H -4.7401 8.3128 14.5174
H -3.6796 5.9237 10.7425
H -3.0002 8.0504 9.4985
H -1.2564 6.7322 10.8226
H -3.9909 10.6581 13.1455
H -2.7396 6.9253 12.9680
H -2.0602 9.0520 11.7240
H -3.6719 5.7713 7.8607
H -2.0679 9.2044 14.6058
Pt -2.8699 7.4878 11.2332
Pt 0.0000 0.0000 0.0000
Sr -1.6792 4.3811 6.5725
Sr -4.0607 10.5946 15.8940
Sr -0.7156 1.8670 2.8009
Sr -5.0242 13.1087 19.6656
Li -2.3566 6.1484 9.2239
Li -3.3833 8.8272 13.2426
```

Calculated values
- Energy relative to the lowest polymorph listed for this composition: 16.2 meV/atom

=====

Below is a geometry-optimized PmSmCu structure, with properties calculated at the GGA-PBE level.

Structure (extended XYZ):
```
3
Lattice="0.0000 3.4299 3.4299 3.4299 0.0000 3.4299 3.4299 3.4299 0.0000" Properties=species:S:1:pos:R:3 pbc="T T T"
Sm 0.0000 0.0000 0.0000
Cu 1.7149 1.7149 1.7149
Pm 5.1448 5.1448 5.1448
```

Calculated values
- DFT formation energy: 0.62 eV per atom

=====

Below is a geometry-optimized SmReAg structure, with properties calculated at the GGA-PBE level.

Structure (extended XYZ):
```
3
Lattice="0.0000 3.3740 3.3740 3.3740 0.0000 3.3740 3.3740 3.3740 0.0000" Properties=species:S:1:pos:R:3 pbc="T T T"
Ag 1.6870 1.6870 1.6870
Re 5.0610 5.0610 5.0610
Sm 0.0000 0.0000 0.0000
```

Calculated values
- DFT formation energy: 1.43 eV per atom

=====

Below is a geometry-optimized HoEr2TmIn2 structure, with properties calculated at the GGA-PBE level.

Structure (extended XYZ):
```
6
Lattice="5.3413 0.0000 0.0000 -2.6706 4.6257 0.0000 0.0000 0.0000 6.6770" Properties=species:S:1:pos:R:3 pbc="T T T"
Er 2.6707 1.5419 1.6715
Er 2.6707 1.5419 5.0055
Ho 0.0000 0.0000 0.0000
Tm 0.0000 3.0838 3.3385
In 0.0000 0.0000 3.3385
In 0.0000 3.0838 0.0000
```

Calculated values
- Electronic total energy: -4.29 eV per atom

=====

Below is a geometry-optimized Mg2FeBi structure, with properties calculated at the GGA-PBE level.

Structure (extended XYZ):
```
4
Lattice="0.0000 3.4629 3.4629 3.4629 0.0000 3.4629 3.4629 3.4629 0.0000" Properties=species:S:1:pos:R:3 pbc="T T T"
Fe 1.7315 1.7315 1.7315
Mg 5.1944 5.1944 5.1944
Mg 0.0000 0.0000 0.0000
Bi 3.4629 3.4629 3.4629
```

Calculated values
- Electronic total energy: -3.52 eV per atom

=====

Below is a geometry-optimized CsSmTmSe3 structure, with properties calculated at the GGA-PBE level.

Structure (extended XYZ):
```
12
Lattice="2.2658 -8.1646 0.0000 2.2658 8.1646 0.0000 0.0000 0.0000 11.3957" Properties=species:S:1:pos:R:3 pbc="T T T"
Tm 2.2658 0.5541 2.8489
Tm 2.2658 -0.5541 8.5468
Se 2.2658 -7.2457 8.5468
Se 2.2658 1.9423 0.5728
Se 2.2658 -1.9423 6.2707
Se 2.2658 7.2457 2.8489
Se 2.2658 -1.9423 10.8228
Se 2.2658 1.9423 5.1250
Cs 2.2658 -3.8833 2.8489
Cs 2.2658 3.8833 8.5468
Sm 0.0000 0.0000 0.0000
Sm 0.0000 0.0000 5.6978
```

Calculated values
- Electronic total energy: -5.00 eV per atom

=====

Below is a geometry-optimized NpNi3 structure, with properties calculated at the GGA-PBE level.

Structure (extended XYZ):
```
4
Lattice="1.9660 -4.2488 -0.3503 -1.8238 -2.8996 3.2103 -1.9743 2.8376 -3.1766" Properties=species:S:1:pos:R:3 pbc="T T T"
Ni 0.0314 -2.4927 -1.0484
Ni 0.0711 -3.5742 1.4300
Ni -1.8635 -1.8181 0.7319
Np 0.0000 0.0000 0.0000
```

Calculated values
- DFT formation energy: 0.09 eV per atom

=====

Number 1: density 11.3 g cm⁻³. Number 2: density 7.4 g cm⁻³. Number 3: density 12.6 g cm⁻³. Number 4: density 4.8 g cm⁻³. Number 5: density 9.1 g cm⁻³. Number 6: density 5.9 g cm⁻³. Number 7: density 5.4 g cm⁻³. Number 8: density 5.4 g cm⁻³. Number 9: density 9.9 g cm⁻³. Number 10: density 11.6 g cm⁻³. Number 11: density 7.4 g cm⁻³. Number 12: density 4.9 g cm⁻³. Number 13: density 11.2 g cm⁻³. Number 14: density 5.5 g cm⁻³. Number 15: density 7.4 g cm⁻³. Number 16: density 9.6 g cm⁻³. Number 17: density 9.0 g cm⁻³. Number 18: density 6.3 g cm⁻³. Number 19: density 5.4 g cm⁻³. Number 20: density 12.3 g cm⁻³.